CoNiAsIr: relaxed, PBE-GGA.

Values from the calculation:
energy above the lowest structure with this stoichiometry	0	meV/atom

Cell lengths 5.8908, 5.8908, 5.8908 Å; angles 90.00, 90.00, 90.00 degrees
Last column: nearest neighbours and their distance in Å.
Space group F-43m (No. 216)
Asymmetric unit:
Co (0.0000, 0.0000, 0.0000) (multiplicity 4)  4 Ni 2.55, 4 As 2.55
Ni (0.2500, 0.2500, 0.2500) (multiplicity 4)  4 Ir 2.55, 4 Co 2.55
As (0.2500, 0.2500, 0.7500) (multiplicity 4)  4 Co 2.55, 4 Ir 2.55
Ir (0.0000, 0.0000, 0.5000) (multiplicity 4)  4 As 2.55, 4 Ni 2.55

---

CoNiAsIr: relaxed, PBE-GGA.

Values from the calculation:
energy above the lowest structure with this stoichiometry	141	meV/atom

Cell lengths 5.9348, 5.9348, 5.9348 Å; angles 90.00, 90.00, 90.00 degrees
Last column: nearest neighbours and their distance in Å.
Space group F-43m (No. 216)
Asymmetric unit:
Co (0.0000, 0.0000, 0.0000) (multiplicity 4)  4 As 2.57, 4 Ir 2.57
Ni (0.0000, 0.0000, 0.5000) (multiplicity 4)  4 As 2.57, 4 Ir 2.57
As (0.2500, 0.2500, 0.7500) (multiplicity 4)  4 Co 2.57, 4 Ni 2.57
Ir (0.2500, 0.2500, 0.2500) (multiplicity 4)  4 Co 2.57, 4 Ni 2.57

---

Number 1 is which compound?
CoNiAsIr

---

What is the energy above the lowest structure with this stoichiometry in the first record?
0 meV/atom

---

Among the records above, which one has the lowest energy above the lowest structure with this stoichiometry?
number 1

---

What is the formula in the first record?
CoNiAsIr